No. 1
# BeHSe2N (PBE, optimized geometry)
# DOS(E_F), states/eV/f.u.: 1.4
# ΔE to the lowest computed polymorph, eV/atom: 0.109
data_BeHSe2N
_chemical_formula_sum 'Be1 H1 Se2 N1'
_cell_length_a 4.7999
_cell_length_b 4.7999
_cell_length_c 2.6432
_cell_angle_alpha 90.00
_cell_angle_beta 90.00
_cell_angle_gamma 90.00
_space_group_name_H-M_alt 'P 4/m m m'
_space_group_IT_number 123
_space_group_name_Hall '-P 4 2'
loop_
_atom_site_label
_atom_site_type_symbol
_atom_site_fract_x
_atom_site_fract_y
_atom_site_fract_z
Be1 Be 0.0000 0.0000 0.0000
H1 H 0.5000 0.5000 0.5000
Se1 Se 0.0000 0.5000 0.5000
N1 N 0.5000 0.5000 0.0000

No. 2
# HfZrPdI2 (PBE, optimized geometry)
# DOS(E_F), states/eV/f.u.: 7.7
# E_form (uncorrected), eV per atom: 0.7662
data_HfZrPdI2
_chemical_formula_sum 'Hf1 Zr1 Pd1 I2'
_cell_length_a 5.3059
_cell_length_b 5.3059
_cell_length_c 5.1465
_cell_angle_alpha 90.00
_cell_angle_beta 90.00
_cell_angle_gamma 90.00
_space_group_name_H-M_alt 'P 4/m m m'
_space_group_IT_number 123
_space_group_name_Hall '-P 4 2'
loop_
_atom_site_label
_atom_site_type_symbol
_atom_site_fract_x
_atom_site_fract_y
_atom_site_fract_z
Hf1 Hf 0.0000 0.0000 0.0000
Zr1 Zr 0.5000 0.5000 0.0000
Pd1 Pd 0.0000 0.0000 0.5000
I1 I 0.0000 0.5000 0.5000

No. 3
# Zr3CdN (PBE, optimized geometry)
# DOS(E_F), states/eV/f.u.: 3.2
# E_form (uncorrected), eV per atom: -0.7315
data_Zr3CdN
_chemical_formula_sum 'Zr12 Cd4 N4'
_cell_length_a 9.9963
_cell_length_b 3.2559
_cell_length_c 11.8000
_cell_angle_alpha 90.00
_cell_angle_beta 90.00
_cell_angle_gamma 90.00
_space_group_name_H-M_alt 'A m m 2'
_space_group_IT_number 38
loop_
_space_group_symop_operation_xyz
'x,y,z'
'-x,-y,z'
'-x,y,z'
'x,-y,z'
'x,y+1/2,z+1/2'
'-x,-y+1/2,z+1/2'
'-x,y+1/2,z+1/2'
'x,-y+1/2,z+1/2'
loop_
_atom_site_label
_atom_site_type_symbol
_atom_site_fract_x
_atom_site_fract_y
_atom_site_fract_z
Zr1 Zr 0.0000 0.0000 0.0000
Zr2 Zr 0.0000 0.0000 0.2723
Zr3 Zr 0.2341 0.0000 0.6175
Zr4 Zr 0.2656 0.0000 0.8759
Cd1 Cd 0.5000 0.0000 0.2252
Cd2 Cd 0.5000 0.0000 0.4917
N1 N 0.1422 0.0000 0.4394

No. 4
# Co4TcB2 (PBE, optimized geometry)
# DOS(E_F), states/eV/f.u.: 8.5
# Energy relative to the elements, eV/atom: -0.034
data_Co4TcB2
_chemical_formula_sum 'Co8 Tc2 B4'
_cell_length_a 3.3267
_cell_length_b 12.1097
_cell_length_c 3.3475
_cell_angle_alpha 90.00
_cell_angle_beta 90.00
_cell_angle_gamma 90.00
_space_group_name_H-M_alt 'C m m m'
_space_group_IT_number 65
_space_group_name_Hall '-C 2 2'
loop_
_atom_site_label
_atom_site_type_symbol
_atom_site_fract_x
_atom_site_fract_y
_atom_site_fract_z
Co1 Co 0.0000 0.1726 0.0000
Co2 Co 0.0000 0.3236 0.5000
Tc1 Tc 0.0000 0.0000 0.5000
B1 B 0.0000 0.4258 0.0000

No. 5
# SrPmGa4 (PBE, optimized geometry)
# DOS(E_F), states/eV/f.u.: 2.5
# ΔE to the lowest computed polymorph, eV/atom: 0.131
# Energy relative to the elements, eV/atom: -0.461
data_SrPmGa4
_chemical_formula_sum 'Sr4 Pm4 Ga16'
_cell_length_a 8.0535
_cell_length_b 8.0535
_cell_length_c 8.0535
_cell_angle_alpha 90.00
_cell_angle_beta 90.00
_cell_angle_gamma 90.00
_space_group_name_H-M_alt 'F -4 3 m'
_space_group_IT_number 216
_space_group_name_Hall 'F -4 2 3'
loop_
_atom_site_label
_atom_site_type_symbol
_atom_site_fract_x
_atom_site_fract_y
_atom_site_fract_z
Sr1 Sr 0.0000 0.0000 0.0000
Pm1 Pm 0.2500 0.2500 0.2500
Ga1 Ga 0.1245 0.1245 0.6245

No. 6
# Tc2C (PBE, optimized geometry)
# DOS(E_F), states/eV/f.u.: 2.8
# ΔE to the lowest computed polymorph, eV/atom: 0.750
# Energy relative to the elements, eV/atom: 0.824
data_Tc2C
_chemical_formula_sum 'Tc4 C2'
_cell_length_a 3.2942
_cell_length_b 3.2942
_cell_length_c 8.4155
_cell_angle_alpha 90.00
_cell_angle_beta 90.00
_cell_angle_gamma 120.00
_space_group_name_H-M_alt 'P 63/m m c'
_space_group_IT_number 194
_space_group_name_Hall '-P 6c 2c'
loop_
_atom_site_label
_atom_site_type_symbol
_atom_site_fract_x
_atom_site_fract_y
_atom_site_fract_z
Tc1 Tc 0.0000 0.0000 0.0000
Tc2 Tc 0.3333 0.6667 0.2500
C1 C 0.3333 0.6667 0.7500

No. 7
# LaBe2Al (PBE, optimized geometry)
# DOS(E_F), states/eV/f.u.: 2.5
# Energy relative to the elements, eV/atom: 0.626
data_LaBe2Al
_chemical_formula_sum 'La3 Be6 Al3'
_cell_length_a 2.9831
_cell_length_b 2.9831
_cell_length_c 27.7835
_cell_angle_alpha 90.00
_cell_angle_beta 90.00
_cell_angle_gamma 120.00
_space_group_name_H-M_alt 'R -3 m'
_space_group_IT_number 166
_space_group_name_Hall '-R 3 2"'
loop_
_atom_site_label
_atom_site_type_symbol
_atom_site_fract_x
_atom_site_fract_y
_atom_site_fract_z
La1 La 0.0000 0.0000 0.0000
Be1 Be 0.0000 0.0000 0.2368
Al1 Al 0.0000 0.0000 0.5000

No. 8
# SrPm2H7 (PBE, optimized geometry)
# DOS(E_F), states/eV/f.u.: 1.0
# Total energy, eV for the cell shown: -81.2
data_SrPm2H7
_chemical_formula_sum 'Sr2 Pm4 H14'
_cell_length_a 3.9247
_cell_length_b 3.9247
_cell_length_c 16.2598
_cell_angle_alpha 90.00
_cell_angle_beta 90.00
_cell_angle_gamma 90.00
_space_group_name_H-M_alt 'I 4/m m m'
_space_group_IT_number 139
_space_group_name_Hall '-I 4 2'
loop_
_atom_site_label
_atom_site_type_symbol
_atom_site_fract_x
_atom_site_fract_y
_atom_site_fract_z
Sr1 Sr 0.0000 0.0000 0.0000
Pm1 Pm 0.0000 0.0000 0.3378
H1 H 0.0000 0.0000 0.5000
H2 H 0.0000 0.5000 0.0963
H3 H 0.0000 0.5000 0.2500

No. 9
# TiAg2F8 (PBE, optimized geometry)
# DOS(E_F), states/eV/f.u.: 10.8
# ΔE to the lowest computed polymorph, eV/atom: 0.000
# E_form (uncorrected), eV per atom: -2.0894
data_TiAg2F8
_chemical_formula_sum 'Ti1 Ag2 F8'
_cell_length_a 6.6345
_cell_length_b 6.6345
_cell_length_c 4.2165
_cell_angle_alpha 90.00
_cell_angle_beta 90.00
_cell_angle_gamma 120.00
_space_group_name_H-M_alt 'P -3'
_space_group_IT_number 147
loop_
_space_group_symop_operation_xyz
'x,y,z'
'-x,-y,-z'
'-y,x-y,z'
'y,-x+y,-z'
'-x+y,-x,z'
'x-y,x,-z'
loop_
_atom_site_label
_atom_site_type_symbol
_atom_site_fract_x
_atom_site_fract_y
_atom_site_fract_z
Ti1 Ti 0.0000 0.0000 0.0000
Ag1 Ag 0.3333 0.6667 0.7590
F1 F 0.1369 0.2760 0.7556
F2 F 0.3333 0.6667 0.2582

- Among the records above, which one has the lowest DOS(E_F)?
  SrPm2H7

- Which value of DOS(E_F) does entry 3 give?
  3.2 states/eV/f.u.

- Look up the DOS(E_F) of the fifth one.
  2.5 states/eV/f.u.

Please write out number 5 again, unchanged.
# SrPmGa4 (PBE, optimized geometry)
# DOS(E_F), states/eV/f.u.: 2.5
# ΔE to the lowest computed polymorph, eV/atom: 0.131
# Energy relative to the elements, eV/atom: -0.461
data_SrPmGa4
_chemical_formula_sum 'Sr4 Pm4 Ga16'
_cell_length_a 8.0535
_cell_length_b 8.0535
_cell_length_c 8.0535
_cell_angle_alpha 90.00
_cell_angle_beta 90.00
_cell_angle_gamma 90.00
_space_group_name_H-M_alt 'F -4 3 m'
_space_group_IT_number 216
_space_group_name_Hall 'F -4 2 3'
loop_
_atom_site_label
_atom_site_type_symbol
_atom_site_fract_x
_atom_site_fract_y
_atom_site_fract_z
Sr1 Sr 0.0000 0.0000 0.0000
Pm1 Pm 0.2500 0.2500 0.2500
Ga1 Ga 0.1245 0.1245 0.6245